[1]
DFT (PBE) results for a geometry-optimized Pr3Ga2Ag3 structure.

Cell lengths 5.951, 5.951, 15.535 Å; angles 90.00, 90.00, 134.33 degrees
Fractional positions:
1 Pr 0.095 0.905 0.603
2 Pr 0.095 0.905 0.897
3 Pr 0.388 0.612 0.750
4 Pr 0.612 0.388 0.250
5 Pr 0.905 0.095 0.103
6 Pr 0.905 0.095 0.397
7 Ga 0.200 0.800 0.103
8 Ga 0.200 0.800 0.397
9 Ga 0.800 0.200 0.603
10 Ga 0.800 0.200 0.897
11 Ag 0.326 0.674 0.250
12 Ag 0.383 0.617 0.541
13 Ag 0.383 0.617 0.959
14 Ag 0.617 0.383 0.041
15 Ag 0.617 0.383 0.459
16 Ag 0.674 0.326 0.750

Computed properties:
The calculation puts the energy relative to the elements at -383 meV/atom. For the density of states at the Fermi level, the calculation gives 7.60 states/eV/f.u. The space group is No. 63. The value obtained for the magnetization is 0.00 μB/cell.

---

[2]
DFT (PBE) results for a geometry-optimized Pr3Ga3Ag structure.

Cell lengths 5.999, 5.999, 15.033 Å; angles 109.87, 109.87, 45.00 degrees
Fractional positions:
1 Pr 0.014 0.014 0.273
2 Pr 0.181 0.181 0.572
3 Pr 0.341 0.341 0.879
4 Pr 0.659 0.659 0.121
5 Pr 0.819 0.819 0.428
6 Pr 0.986 0.986 0.727
7 Ga 0.082 0.082 0.957
8 Ga 0.303 0.303 0.274
9 Ga 0.473 0.473 0.578
10 Ga 0.527 0.527 0.422
11 Ga 0.697 0.697 0.726
12 Ga 0.918 0.918 0.043
13 Ag 0.352 0.352 0.104
14 Ag 0.648 0.648 0.896

Computed properties:
The calculation puts the energy relative to the elements at -525 meV/atom. For the density of states at the Fermi level, the calculation gives 5.52 states/eV/f.u. The space group is No. 12. The value obtained for the magnetization is 0.00 μB/cell.

---

[3]
DFT (PBE) results for a geometry-optimized Pr2Ga5Ag structure.

Cell lengths 6.297, 6.297, 6.297 Å; angles 120.44, 120.44, 89.25 degrees
Fractional positions:
1 Pr 0.000 0.500 0.500
2 Pr 0.500 0.000 0.500
3 Ga 0.017 0.017 0.000
4 Ga 0.533 0.533 0.564
5 Ga 0.533 0.968 0.000
6 Ga 0.968 0.533 0.000
7 Ga 0.968 0.968 0.436
8 Ag 0.370 0.370 0.000

Computed properties:
The calculation puts the energy relative to the elements at -441 meV/atom. For the density of states at the Fermi level, the calculation gives 3.23 states/eV/f.u. The space group is No. 107. The value obtained for the magnetization is 0.00 μB/cell.